# KTl3Sn

A relaxed structure of KTl3Sn (PBE, Alexandria).

## Properties
For the density, the calculation gives 7.531 g/cm3. Its formation energy is -88 meV per atom. The calculation puts the energy above the lowest structure with this stoichiometry at 0 meV per atom. As for the volume: 339.97 Å³ per cell.

a = 4.9496 Å, b = 8.0948 Å, c = 8.4969 Å
α = 92.99°, β = 90.00°, γ = 90.00°
Last column: nearest neighbours and their distance in Å.
Fractional positions:
Tl1 0.7500 0.7617 0.3015  3 Sn 3.23-3.61, 5 Tl 3.45-3.56
Tl2 0.2500 0.2383 0.6985  3 Sn 3.23-3.61, 5 Tl 3.45-3.56
Tl3 0.2500 0.4569 0.3455  3 Sn 3.27-3.47, 6 Tl 3.37-3.65
Tl4 0.7500 0.5431 0.6545  3 Sn 3.27-3.47, 6 Tl 3.37-3.65
Tl5 0.2500 0.0496 0.2421  3 Sn 3.23-3.27, 3 Tl 3.37-3.45, 1 K 3.57
Tl6 0.7500 0.9504 0.7579  3 Sn 3.23-3.27, 3 Tl 3.37-3.45, 1 K 3.57
K1 0.2500 0.7069 0.9610  8 Tl 3.57-3.93, 1 Sn 3.70
K2 0.7500 0.2931 0.0390  8 Tl 3.57-3.93, 1 Sn 3.70
Sn1 0.2500 0.8145 0.5431  9 Tl 3.23-3.61
Sn2 0.7500 0.1855 0.4569  9 Tl 3.23-3.61


# KTl2Sn

A relaxed structure of KTl2Sn (PBE, Alexandria).

## Properties
For the density, the calculation gives 7.174 g/cm3. Its formation energy is -102 meV per atom. The calculation puts the energy above the lowest structure with this stoichiometry at 3 meV per atom. As for the volume: 131.14 Å³ per cell.

a = 4.0024 Å, b = 4.0024 Å, c = 8.1868 Å
α = 90.00°, β = 90.00°, γ = 90.00°
Last column: nearest neighbours and their distance in Å.
Fractional positions:
K1 0.5000 0.5000 0.5000  8 Tl 3.70, 4 K 4.00, 2 Sn 4.09
Sn1 0.5000 0.5000 0.0000  8 Tl 3.30
Tl1 0.0000 0.0000 0.7918  4 Sn 3.30, 1 Tl 3.41
Tl2 0.0000 0.0000 0.2082  4 Sn 3.30, 1 Tl 3.41


# KTl4Sn

A relaxed structure of KTl4Sn (PBE, Alexandria).

## Properties
For the density, the calculation gives 8.308 g/cm3. Its formation energy is -61 meV per atom. The calculation puts the energy above the lowest structure with this stoichiometry at 0 meV per atom. As for the volume: 194.94 Å³ per cell.

a = 5.9803 Å, b = 5.9881 Å, c = 9.2605 Å
α = 87.00°, β = 64.08°, γ = 45.41°
Last column: nearest neighbours and their distance in Å.
Fractional positions:
Sn1 0.0000 0.0000 0.0000  10 Tl 3.31-3.48
Tl1 0.9364 0.3755 0.7203  2 Sn 3.31, 4 Tl 3.36-3.52, 3 K 3.65-3.67
Tl2 0.0636 0.6245 0.2797  2 Sn 3.31, 4 Tl 3.36-3.52, 3 K 3.65-3.67
Tl3 0.5157 0.8217 0.1528  6 Tl 3.36-3.52, 3 Sn 3.42-3.48, 2 K 3.66
Tl4 0.4843 0.1783 0.8472  6 Tl 3.36-3.52, 3 Sn 3.42-3.48, 2 K 3.66
K1 0.5000 0.5000 0.5000  10 Tl 3.65-3.67, 2 Sn 4.02


# K3Tl2Sn4

A relaxed structure of K3Tl2Sn4 (PBE, Alexandria).

## Properties
For the density, the calculation gives 5.405 g/cm3. Its formation energy is -160 meV per atom. As for the volume: 307.49 Å³ per cell.

a = 5.0534 Å, b = 7.0900 Å, c = 9.7099 Å
α = 74.07°, β = 74.94°, γ = 69.14°
Last column: nearest neighbours and their distance in Å.
Fractional positions:
Sn1 0.7379 0.6035 0.9205  3 Sn 3.05-3.11
Sn2 0.1294 0.3299 0.4107  2 Sn 3.05-3.07, 3 Tl 3.11-3.21
Sn3 0.2621 0.3965 0.0795  3 Sn 3.05-3.11
Sn4 0.8706 0.6701 0.5893  2 Sn 3.05-3.07, 3 Tl 3.11-3.21
K1 0.4980 0.7141 0.2899  5 Sn 3.60-3.75, 3 Tl 3.65-3.89, 2 K 3.91
K2 0.0000 0.0000 0.0000  2 Tl 3.41
K3 0.5020 0.2859 0.7101  5 Sn 3.60-3.75, 3 Tl 3.65-3.89, 2 K 3.91
Tl1 0.7823 0.0885 0.3462  3 Sn 3.11-3.21, 1 K 3.41
Tl2 0.2177 0.9115 0.6538  3 Sn 3.11-3.21, 1 K 3.41


# KTl10Sn3

A relaxed structure of KTl10Sn3 (PBE, Alexandria).

## Properties
For the density, the calculation gives 8.261 g/cm3. Its formation energy is 58 meV per atom. As for the volume: 980.60 Å³ per cell.

a = 11.1516 Å, b = 11.1516 Å, c = 11.1516 Å
α = 60.00°, β = 60.00°, γ = 60.00°
Last column: nearest neighbours and their distance in Å.
Fractional positions:
Sn1 0.2619 0.2619 0.7381  8 Tl 3.11-3.25
Sn2 0.7381 0.7381 0.2619  8 Tl 3.11-3.25
Sn3 0.2619 0.7381 0.7381  8 Tl 3.11-3.25
Sn4 0.2619 0.7381 0.2619  8 Tl 3.11-3.25
Sn5 0.7381 0.2619 0.7381  8 Tl 3.11-3.25
Sn6 0.7381 0.2619 0.2619  8 Tl 3.11-3.25
Tl1 0.6188 0.6188 0.6188  3 Sn 3.25, 1 K 3.58
Tl2 0.0000 0.6424 0.3576  2 Sn 3.11, 1 Tl 3.18
Tl3 0.3812 0.3812 0.8564  3 Sn 3.25, 1 K 3.58
Tl4 0.6424 0.0000 0.0000  2 Sn 3.11, 1 Tl 3.18
Tl5 0.3812 0.3812 0.3812  3 Sn 3.25, 1 K 3.58
Tl6 0.0000 0.0000 0.6424  2 Sn 3.11, 1 Tl 3.18
Tl7 0.1436 0.6188 0.6188  3 Sn 3.25, 1 K 3.58
Tl8 0.6188 0.6188 0.1436  3 Sn 3.25, 1 K 3.58
Tl9 0.6424 0.3576 0.0000  2 Sn 3.11, 1 Tl 3.18
Tl10 0.0000 0.3576 0.0000  2 Sn 3.11, 1 Tl 3.18
Tl11 0.3576 0.6424 0.0000  2 Sn 3.11, 1 Tl 3.18
Tl12 0.3576 0.0000 0.6424  2 Sn 3.11, 1 Tl 3.18
Tl13 0.6188 0.1436 0.6188  3 Sn 3.25, 1 K 3.58
Tl14 0.3812 0.8564 0.3812  3 Sn 3.25, 1 K 3.58
Tl15 0.6424 0.0000 0.3576  2 Sn 3.11, 1 Tl 3.18
Tl16 0.0000 0.6424 0.0000  2 Sn 3.11, 1 Tl 3.18
Tl17 0.8564 0.3812 0.3812  3 Sn 3.25, 1 K 3.58
Tl18 0.0000 0.0000 0.3576  2 Sn 3.11, 1 Tl 3.18
Tl19 0.0000 0.3576 0.6424  2 Sn 3.11, 1 Tl 3.18
Tl20 0.3576 0.0000 0.0000  2 Sn 3.11, 1 Tl 3.18
K1 0.2500 0.2500 0.2500  4 Tl 3.58
K2 0.7500 0.7500 0.7500  4 Tl 3.58


# KTl4Sn2

A relaxed structure of KTl4Sn2 (PBE, Alexandria).

## Properties
For the density, the calculation gives 8.026 g/cm3. Its formation energy is -23 meV per atom. The calculation puts the energy above the lowest structure with this stoichiometry at 24 meV per atom. As for the volume: 226.36 Å³ per cell.

a = 6.3250 Å, b = 6.7668 Å, c = 6.7668 Å
α = 77.38°, β = 62.14°, γ = 62.14°
Last column: nearest neighbours and their distance in Å.
Fractional positions:
Sn1 0.7500 0.5000 0.5000  2 Sn 3.16, 8 Tl 3.45
Sn2 0.2500 0.5000 0.5000  2 Sn 3.16, 8 Tl 3.45
Tl1 0.3046 0.3908 0.0000  4 Tl 3.31-3.42, 4 Sn 3.45, 1 K 3.64
Tl2 0.6954 0.6092 0.0000  4 Tl 3.31-3.42, 4 Sn 3.45, 1 K 3.64
Tl3 0.6954 0.0000 0.6092  4 Tl 3.31-3.42, 4 Sn 3.45, 1 K 3.64
Tl4 0.3046 0.0000 0.3908  4 Tl 3.31-3.42, 4 Sn 3.45, 1 K 3.64
K1 0.0000 0.0000 0.0000  12 Tl 3.64-3.93


# K2Tl5Sn4

A relaxed structure of K2Tl5Sn4 (PBE, Alexandria).

## Properties
For the density, the calculation gives 6.801 g/cm3. Its formation energy is -27 meV per atom. As for the volume: 384.53 Å³ per cell.

a = 7.4680 Å, b = 8.5169 Å, c = 7.6944 Å
α = 76.90°, β = 60.97°, γ = 64.00°
Last column: nearest neighbours and their distance in Å.
Fractional positions:
Tl1 0.7779 0.1953 0.8103  4 Sn 3.15-3.43, 2 Tl 3.28-3.51
Tl2 0.7835 0.8047 0.1897  4 Sn 3.15-3.43, 2 Tl 3.28-3.51
Tl3 0.2165 0.1953 0.8103  4 Sn 3.15-3.43, 2 Tl 3.28-3.51
Tl4 0.0000 0.5000 0.5000  4 Sn 3.49-3.58, 4 Tl 3.51
Tl5 0.2221 0.8047 0.1897  4 Sn 3.15-3.43, 2 Tl 3.28-3.51
Sn1 0.7213 0.5417 0.0157  1 Sn 2.93, 2 Tl 3.15
Sn2 0.6583 0.8794 0.8041  2 Sn 2.93-3.24, 2 Tl 3.20
Sn3 0.2787 0.4583 0.9843  1 Sn 2.93, 2 Tl 3.15
Sn4 0.3417 0.1206 0.1959  2 Sn 2.93-3.24, 2 Tl 3.20
K1 0.7130 0.2052 0.3688  2 Sn 3.47-3.81, 4 Tl 3.64-3.70
K2 0.2870 0.7948 0.6312  2 Sn 3.47-3.81, 4 Tl 3.64-3.70


# KTlSn2

A relaxed structure of KTlSn2 (PBE, Alexandria).

## Properties
For the density, the calculation gives 5.561 g/cm3. Its formation energy is -80 meV per atom. The calculation puts the energy above the lowest structure with this stoichiometry at 0 meV per atom. As for the volume: 574.42 Å³ per cell.

a = 7.4262 Å, b = 7.8040 Å, c = 9.9115 Å
α = 90.00°, β = 90.00°, γ = 90.00°
Last column: nearest neighbours and their distance in Å.
Fractional positions:
Sn1 0.4477 0.3265 0.4629  2 Sn 2.91-2.94, 1 Tl 3.12
Sn2 0.9477 0.1735 0.9629  2 Sn 2.91-2.94, 1 Tl 3.12
Sn3 0.0523 0.3265 0.4629  2 Sn 2.91-2.94, 1 Tl 3.12
Sn4 0.9477 0.6735 0.5371  2 Sn 2.91-2.94, 1 Tl 3.12
Sn5 0.4477 0.8265 0.0371  2 Sn 2.91-2.94, 1 Tl 3.12
Sn6 0.5523 0.1735 0.9629  2 Sn 2.91-2.94, 1 Tl 3.12
Sn7 0.5523 0.6735 0.5371  2 Sn 2.91-2.94, 1 Tl 3.12
Sn8 0.0523 0.8265 0.0371  2 Sn 2.91-2.94, 1 Tl 3.12
K1 0.7500 0.0073 0.3097  8 Sn 3.68-3.96, 2 K 4.08, 1 Tl 4.10
K2 0.2500 0.4927 0.8097  8 Sn 3.68-3.96, 2 K 4.08, 1 Tl 4.10
K3 0.7500 0.5073 0.1903  8 Sn 3.68-3.96, 2 K 4.08, 1 Tl 4.10
K4 0.2500 0.9927 0.6903  8 Sn 3.68-3.96, 2 K 4.08, 1 Tl 4.10
Tl1 0.7500 0.7553 0.8256  4 Sn 3.12-3.28
Tl2 0.2500 0.7447 0.3256  4 Sn 3.12-3.28
Tl3 0.7500 0.2553 0.6744  4 Sn 3.12-3.28
Tl4 0.2500 0.2447 0.1744  4 Sn 3.12-3.28